Record 1
# MnZn2Cd2Au5

A relaxed MnZn2Cd2Au5 crystal (PBE-GGA, the Alexandria database).

The calculation puts the total energy at -3.08 eV per atom. The volume is 18.4 Å³/atom. For the formation energy, the calculation gives -0.085 eV/atom.

The structure belongs to space group P4/mbm (No. 127); the cell edges are 9.881, 9.881 and 3.775 Å and the angles 90.00°, 90.00° and 90.00°. The asymmetric unit holds Mn at (0.000, 0.000, 0.000), Zn at (0.129, 0.371, 0.000), Cd at (0.173, 0.673, 0.000), Au at (0.000, 0.500, 0.500) and Au at (0.063, 0.196, 0.500).


Record 2
# MnZnCdAu

A relaxed MnZnCdAu crystal (PBE-GGA, the Alexandria database).

The calculation puts the total energy at -3.66 eV per atom. The volume is 16.9 Å³/atom. For the formation energy, the calculation gives 0.001 eV/atom.

The structure belongs to space group F-43m (No. 216); the cell edges are 6.466, 6.466 and 6.466 Å and the angles 90.00°, 90.00° and 90.00°. The asymmetric unit holds Mn at (0.000, 0.000, 0.000), Zn at (0.000, 0.000, 0.500), Cd at (0.250, 0.250, 0.250) and Au at (0.250, 0.250, 0.750).